1.
CaCoHS2: optimized geometry, GGA-PBEsol.

Computed properties:
- DOS(E_F) (states/eV/atom) = 1.049
- E_tot (eV per atom) = -4.3293
- mass density (Mg/m³) = 3.976
- volume (Å³ per atom) = 13.71

Lattice parameters (Å, degrees): 4.324 4.324 3.667 90.00 90.00 90.00
Space group P4/mmm (No. 123)
Symmetry-distinct sites (fractional):
Ca 0.000 0.000 0.000 x1
Co 0.500 0.500 0.000 x1
H 0.000 0.000 0.500 x1
S 0.000 0.500 0.500 x2

=====

2.
CaYCo2H: optimized geometry, GGA-PBEsol.

Computed properties:
- DOS(E_F) (states/eV/atom) = 1.637
- E_tot (eV per atom) = -4.8422
- mass density (Mg/m³) = 4.294
- volume (Å³ per atom) = 19.17

Lattice parameters (Å, degrees): 4.923 4.923 3.955 90.00 90.00 90.00
Space group P4/mmm (No. 123)
Symmetry-distinct sites (fractional):
Ca 0.000 0.000 0.000 x1
Y 0.500 0.500 0.500 x1
Co 0.000 0.500 0.500 x2
H 0.500 0.500 0.000 x1

=====

3.
Ca3HfCo: optimized geometry, GGA-PBEsol.

Computed properties:
- energy of formation from the pure elements (eV per atom) = 1.677
- DOS(E_F) (states/eV/atom) = 2.136
- mass density (Mg/m³) = 3.335
- volume (Å³ per atom) = 35.62

Lattice parameters (Å, degrees): 5.626 5.626 5.626 90.00 90.00 90.00
Space group Pm-3m (No. 221)
Symmetry-distinct sites (fractional):
Ca 0.000 0.000 0.500 x3
Hf 0.000 0.000 0.000 x1
Co 0.500 0.500 0.500 x1

=====

4.
Ca2CoHg: optimized geometry, GGA-PBEsol.

Computed properties:
- energy of formation from the pure elements (eV per atom) = 0.122
- DOS(E_F) (states/eV/atom) = 0.811
- mass density (Mg/m³) = 6.477
- volume (Å³ per atom) = 21.77

Lattice parameters (Å, degrees): 4.320 4.320 9.335 90.00 90.00 90.00
Space group I-4m2 (No. 119)
Symmetry-distinct sites (fractional):
Ca 0.000 0.000 0.000 x2
Ca 0.000 0.500 0.250 x2
Co 0.000 0.000 0.500 x2
Hg 0.000 0.500 0.750 x2

=====

5.
Ca4CoHg: optimized geometry, GGA-PBEsol.

Computed properties:
- energy of formation from the pure elements (eV per atom) = 0.763
- DOS(E_F) (states/eV/atom) = 2.520
- mass density (Mg/m³) = 4.136
- volume (Å³ per atom) = 28.09

Lattice parameters (Å, degrees): 8.769 8.769 8.769 90.00 90.00 90.00
Space group F-43m (No. 216)
Symmetry-distinct sites (fractional):
Ca 0.125 0.125 0.125 x16
Co 0.250 0.250 0.750 x4
Hg 0.000 0.000 0.500 x4

=====

6.
CaCoI2N: optimized geometry, GGA-PBEsol.

Computed properties:
- raw formation energy (meV per atom) = 894
- DOS(E_F) (states/eV/atom) = 1.529
- mass density (Mg/m³) = 3.980
- volume (Å³ per atom) = 30.61

Lattice parameters (Å, degrees): 5.903 5.903 4.393 90.00 90.00 90.00
Space group P4/mmm (No. 123)
Symmetry-distinct sites (fractional):
Ca 0.000 0.000 0.000 x1
Co 0.500 0.500 0.500 x1
I 0.000 0.500 0.000 x2
N 0.000 0.000 0.500 x1

=====

7.
CaCoIN2: optimized geometry, GGA-PBEsol.

Computed properties:
- raw formation energy (meV per atom) = 520
- DOS(E_F) (states/eV/atom) = 0.443
- mass density (Mg/m³) = 5.251
- relative energy among the computed polymorphs (eV per atom) = 0.0000
- volume (Å³ per atom) = 16.06

Lattice parameters (Å, degrees): 3.966 3.966 5.104 90.00 90.00 90.00
Space group P4/mmm (No. 123)
Symmetry-distinct sites (fractional):
Ca 0.000 0.000 0.000 x1
Co 0.500 0.500 0.500 x1
I 0.500 0.500 0.000 x1
N 0.000 0.500 0.500 x2

=====

8.
CaCoIN2: optimized geometry, GGA-PBEsol.

Computed properties:
- raw formation energy (meV per atom) = 1676
- DOS(E_F) (states/eV/atom) = 1.228
- mass density (Mg/m³) = 3.650
- relative energy among the computed polymorphs (eV per atom) = 1.1559
- volume (Å³ per atom) = 23.10

Lattice parameters (Å, degrees): 4.361 4.361 6.073 90.00 90.00 90.00
Space group P4/mmm (No. 123)
Symmetry-distinct sites (fractional):
Ca 0.000 0.000 0.000 x1
Co 0.500 0.500 0.500 x1
I 0.000 0.000 0.500 x1
N 0.000 0.500 0.000 x2

=====

9.
CaCoIr: optimized geometry, GGA-PBEsol.

Computed properties:
- energy of formation from the pure elements (eV per atom) = 0.131
- DOS(E_F) (states/eV/atom) = 0.955
- mass density (Mg/m³) = 9.185
- volume (Å³ per atom) = 17.55

Lattice parameters (Å, degrees): 3.211 3.211 10.210 90.00 90.00 90.00
Space group I4mm (No. 107)
Symmetry-distinct sites (fractional):
Ca 0.000 0.000 0.000 x2
Co 0.000 0.000 0.714 x2
Ir 0.000 0.000 0.292 x2

=====

10.
CaCo2Ir2: optimized geometry, GGA-PBEsol.

Computed properties:
- energy of formation from the pure elements (eV per atom) = 0.093
- DOS(E_F) (states/eV/atom) = 1.044
- mass density (Mg/m³) = 10.946
- volume (Å³ per atom) = 16.46

Lattice parameters (Å, degrees): 4.120 4.120 9.696 90.00 90.00 90.00
Space group I4/mmm (No. 139)
Symmetry-distinct sites (fractional):
Ca 0.000 0.000 0.000 x2
Co 0.000 0.500 0.250 x4
Ir 0.000 0.000 0.376 x4

=====

11.
CaCo3Ir: optimized geometry, GGA-PBEsol.

Computed properties:
- energy of formation from the pure elements (eV per atom) = 2.096
- DOS(E_F) (states/eV/atom) = 1.353
- mass density (Mg/m³) = 9.156
- volume (Å³ per atom) = 14.84

Lattice parameters (Å, degrees): 4.202 4.202 4.202 90.00 90.00 90.00
Space group Pm-3m (No. 221)
Symmetry-distinct sites (fractional):
Ca 0.000 0.000 0.000 x1
Co 0.000 0.000 0.500 x3
Ir 0.500 0.500 0.500 x1

=====

12.
Ca2MnCoIr: optimized geometry, GGA-PBEsol.

Computed properties:
- energy of formation from the pure elements (eV per atom) = 1.098
- DOS(E_F) (states/eV/atom) = 0.844
- mass density (Mg/m³) = 6.039
- volume (Å³ per atom) = 21.24

Lattice parameters (Å, degrees): 5.171 5.171 3.972 90.00 90.00 90.00
Space group P4/mmm (No. 123)
Symmetry-distinct sites (fractional):
Ca 0.000 0.500 0.000 x2
Mn 0.000 0.000 0.000 x1
Co 0.000 0.000 0.500 x1
Ir 0.500 0.500 0.500 x1

=====

13.
Ca2CoIrO6: optimized geometry, GGA-PBEsol.

Computed properties:
- raw formation energy (meV per atom) = -1765
- DOS(E_F) (states/eV/atom) = 0.596
- mass density (Mg/m³) = 6.666
- volume (Å³ per atom) = 10.64

Lattice parameters (Å, degrees): 5.231 5.437 9.112 90.00 124.77 90.00
Space group P2_1/c (No. 14)
Symmetry-distinct sites (fractional):
Ca 0.232 0.060 0.249 x4
Co 0.000 0.000 0.500 x2
Ir 0.500 0.000 0.000 x2
O 0.144 0.206 0.952 x4
O 0.253 0.696 0.953 x4
O 0.339 0.026 0.745 x4

=====

14.
CaCoSnIr2: optimized geometry, GGA-PBEsol.

Computed properties:
- energy of formation from the pure elements (eV per atom) = 2.352
- DOS(E_F) (states/eV/atom) = 1.687
- mass density (Mg/m³) = 8.742
- volume (Å³ per atom) = 22.88

Lattice parameters (Å, degrees): 4.679 4.679 5.223 90.00 90.00 90.00
Space group P4/mmm (No. 123)
Symmetry-distinct sites (fractional):
Ca 0.000 0.000 0.000 x1
Co 0.500 0.500 0.500 x1
Sn 0.000 0.000 0.500 x1
Ir 0.000 0.500 0.000 x2

=====

15.
K2CaCo: optimized geometry, GGA-PBEsol.

Computed properties:
- energy of formation from the pure elements (eV per atom) = 0.866
- DOS(E_F) (states/eV/atom) = 2.507
- mass density (Mg/m³) = 2.264
- relative energy among the computed polymorphs (eV per atom) = 0.2931
- volume (Å³ per atom) = 32.49

Lattice parameters (Å, degrees): 8.041 8.041 8.041 90.00 90.00 90.00
Space group F-43m (No. 216)
Symmetry-distinct sites (fractional):
K 0.000 0.000 0.000 x4
K 0.250 0.250 0.250 x4
Ca 0.250 0.250 0.750 x4
Co 0.000 0.000 0.500 x4

=====

16.
K2CaCo: optimized geometry, GGA-PBEsol.

Computed properties:
- energy of formation from the pure elements (eV per atom) = 0.573
- DOS(E_F) (states/eV/atom) = 1.668
- mass density (Mg/m³) = 1.949
- relative energy among the computed polymorphs (eV per atom) = 0.0000
- volume (Å³ per atom) = 37.74

Lattice parameters (Å, degrees): 3.751 3.751 10.730 90.00 90.00 90.00
Space group P4mm (No. 99)
Symmetry-distinct sites (fractional):
K 0.000 0.000 0.000 x1
K 0.500 0.500 0.375 x1
Ca 0.000 0.000 0.679 x1
Co 0.500 0.500 0.782 x1

=====

17.
K2CaCo: optimized geometry, GGA-PBEsol.

Computed properties:
- energy of formation from the pure elements (eV per atom) = 0.738
- DOS(E_F) (states/eV/atom) = 2.009
- mass density (Mg/m³) = 1.892
- relative energy among the computed polymorphs (eV per atom) = 0.1645
- volume (Å³ per atom) = 38.87

Lattice parameters (Å, degrees): 3.625 6.243 13.741 90.00 90.00 90.00
Space group Imm2 (No. 44)
Symmetry-distinct sites (fractional):
K 0.000 0.000 0.000 x2
K 0.000 0.500 0.177 x2
Ca 0.000 0.000 0.342 x2
Co 0.000 0.500 0.698 x2

=====

18.
K2CaCo: optimized geometry, GGA-PBEsol.

Computed properties:
- energy of formation from the pure elements (eV per atom) = 0.873
- DOS(E_F) (states/eV/atom) = 1.541
- mass density (Mg/m³) = 2.171
- relative energy among the computed polymorphs (eV per atom) = 0.3001
- volume (Å³ per atom) = 33.89

Lattice parameters (Å, degrees): 4.722 4.722 12.158 90.00 90.00 90.00
Space group I4/mmm (No. 139)
Symmetry-distinct sites (fractional):
K 0.000 0.500 0.250 x4
Ca 0.000 0.000 0.000 x2
Co 0.000 0.000 0.500 x2

=====

19.
CaLaCo4: optimized geometry, GGA-PBEsol.

Computed properties:
- energy of formation from the pure elements (eV per atom) = 0.052
- DOS(E_F) (states/eV/atom) = 1.697
- mass density (Mg/m³) = 7.673
- volume (Å³ per atom) = 14.96

Lattice parameters (Å, degrees): 7.107 7.107 7.107 90.00 90.00 90.00
Space group F-43m (No. 216)
Symmetry-distinct sites (fractional):
Ca 0.000 0.000 0.000 x4
La 0.250 0.250 0.250 x4
Co 0.125 0.125 0.625 x16

=====

20.
CaLa4Co: optimized geometry, GGA-PBEsol.

Computed properties:
- energy of formation from the pure elements (eV per atom) = 0.709
- DOS(E_F) (states/eV/atom) = 2.140
- mass density (Mg/m³) = 5.798
- volume (Å³ per atom) = 31.25

Lattice parameters (Å, degrees): 9.085 9.085 9.085 90.00 90.00 90.00
Space group F-43m (No. 216)
Symmetry-distinct sites (fractional):
Ca 0.000 0.000 0.000 x4
La 0.123 0.123 0.623 x16
Co 0.250 0.250 0.250 x4

=====

21.
CaLa3Co: optimized geometry, GGA-PBEsol.

Computed properties:
- energy of formation from the pure elements (eV per atom) = -0.011
- DOS(E_F) (states/eV/atom) = 1.254
- mass density (Mg/m³) = 5.304
- volume (Å³ per atom) = 32.29

Lattice parameters (Å, degrees): 5.445 5.445 5.445 90.00 90.00 90.00
Space group Pm-3m (No. 221)
Symmetry-distinct sites (fractional):
Ca 0.000 0.000 0.000 x1
La 0.000 0.500 0.500 x3
Co 0.500 0.500 0.500 x1

=====

22.
NaCa2LaCo: optimized geometry, GGA-PBEsol.

Computed properties:
- energy of formation from the pure elements (eV per atom) = 0.059
- DOS(E_F) (states/eV/atom) = 0.733
- mass density (Mg/m³) = 3.121
- volume (Å³ per atom) = 32.03

Lattice parameters (Å, degrees): 5.662 5.662 4.996 90.00 90.00 90.00
Space group P4/mmm (No. 123)
Symmetry-distinct sites (fractional):
Na 0.000 0.000 0.000 x1
Ca 0.000 0.500 0.500 x2
La 0.500 0.500 0.000 x1
Co 0.500 0.500 0.500 x1

=====

23.
CaLaNbCoO6: optimized geometry, GGA-PBEsol.

Computed properties:
- raw formation energy (meV per atom) = -2575
- DOS(E_F) (states/eV/atom) = 0.204
- mass density (Mg/m³) = 6.048
- volume (Å³ per atom) = 11.72

Lattice parameters (Å, degrees): 5.457 5.564 9.433 90.00 125.07 90.00
Space group Pc (No. 7)
Symmetry-distinct sites (fractional):
Ca 0.000 0.201 0.000 x2
La 0.477 0.291 0.497 x2
Nb 0.736 0.246 0.247 x2
Co 0.237 0.252 0.749 x2
O 0.067 0.035 0.288 x2
O 0.398 0.455 0.205 x2
O 0.483 0.041 0.707 x2
O 0.569 0.268 0.995 x2
O 0.915 0.227 0.501 x2
O 0.986 0.459 0.793 x2

=====

24.
CaLa3Co2O8: optimized geometry, GGA-PBEsol.

Computed properties:
- raw formation energy (meV per atom) = -2580
- DOS(E_F) (states/eV/atom) = 0.440
- mass density (Mg/m³) = 6.685
- volume (Å³ per atom) = 12.47

Lattice parameters (Å, degrees): 5.266 5.260 6.829 90.00 112.67 90.00
Space group Pm (No. 6)
Symmetry-distinct sites (fractional):
Ca 0.000 0.000 0.000 x1
La 0.219 0.500 0.436 x1
La 0.498 0.500 0.995 x1
La 0.722 0.000 0.442 x1
Co 0.365 0.000 0.730 x1
Co 0.867 0.500 0.734 x1
O 0.034 0.500 0.067 x1
O 0.109 0.250 0.717 x2
O 0.185 0.000 0.369 x1
O 0.536 0.000 0.068 x1
O 0.609 0.250 0.717 x2
O 0.683 0.500 0.366 x1

=====

25.
LiCaCo2: optimized geometry, GGA-PBEsol.

Computed properties:
- energy of formation from the pure elements (eV per atom) = 0.739
- DOS(E_F) (states/eV/atom) = 1.289
- mass density (Mg/m³) = 4.737
- relative energy among the computed polymorphs (eV per atom) = 0.4286
- volume (Å³ per atom) = 14.45

Lattice parameters (Å, degrees): 2.7752 2.7752 26.0007 90.00 90.00 120.00
Space group R-3m (No. 166, hexagonal axes)
Symmetry-distinct sites (fractional):
Li 0.0000 0.0000 0.0000 x3
Ca 0.0000 0.0000 0.5000 x3
Co 0.0000 0.0000 0.2546 x6

=====

26.
LiCaCo2: optimized geometry, GGA-PBEsol.

Computed properties:
- energy of formation from the pure elements (eV per atom) = 0.310
- DOS(E_F) (states/eV/atom) = 0.797
- mass density (Mg/m³) = 4.028
- relative energy among the computed polymorphs (eV per atom) = 0.0000
- volume (Å³ per atom) = 16.99

Lattice parameters (Å, degrees): 3.044 3.044 7.336 90.00 90.00 90.00
Space group P4mm (No. 99)
Symmetry-distinct sites (fractional):
Li 0.000 0.000 0.000 x1
Ca 0.500 0.500 0.376 x1
Co 0.000 0.000 0.654 x1
Co 0.500 0.500 0.776 x1

=====

27.
LiCaCo: optimized geometry, GGA-PBEsol.

Computed properties:
- energy of formation from the pure elements (eV per atom) = 0.460
- DOS(E_F) (states/eV/atom) = 0.636
- mass density (Mg/m³) = 3.270
- volume (Å³ per atom) = 17.93

Lattice parameters (Å, degrees): 4.5499 4.5499 3.0006 90.00 90.00 120.00
Space group P3m1 (No. 156)
Symmetry-distinct sites (fractional):
Li 0.0000 0.0000 0.0000 x1
Ca 0.3333 0.6667 0.4983 x1
Co 0.6667 0.3333 0.9973 x1